! SrPS4 | Alexandria | PBE | optimized geometry; values from VASP
! Formation energy (no corrections) in kJ per mole of atoms: -68.9
! DOS(E_F) in states/eV per cell: 2.4
! Total moment in μB per atom: 0.159
&SYSTEM
  ibrav = 0, nat = 12, ntyp = 3
/
ATOMIC_SPECIES
Sr 87.62 Sr.upf
P 30.97 P.upf
S 32.06 S.upf
ATOMIC_POSITIONS crystal
Sr 0.1330 0.8670 0.7500
Sr 0.8670 0.1330 0.2500
P 0.3599 0.6401 0.2500
P 0.6401 0.3599 0.7500
S 0.1666 0.3355 0.9460
S 0.1861 0.5997 0.4504
S 0.3355 0.1666 0.4460
S 0.4003 0.8139 0.0496
S 0.5997 0.1861 0.9504
S 0.6645 0.8334 0.5540
S 0.8139 0.4003 0.5496
S 0.8334 0.6645 0.0540
CELL_PARAMETERS angstrom
3.9052 -9.5498 0.0000
3.9052 9.5498 0.0000
-2.7558 0.0000 4.3801

---

! CaGdZnAu | Alexandria | PBE | optimized geometry; values from VASP
! Energy of formation in eV/atom: -0.55
! DOS(E_F) in states/eV per cell: 3.2
! Total moment in μB per atom: 1.798
&SYSTEM
  ibrav = 0, nat = 4, ntyp = 4
/
ATOMIC_SPECIES
Ca 40.08 Ca.upf
Gd 157.25 Gd.upf
Zn 65.41 Zn.upf
Au 196.97 Au.upf
ATOMIC_POSITIONS crystal
Ca 0.0000 0.0000 0.0000
Gd 0.5000 0.5000 0.5000
Zn 0.7500 0.7500 0.7500
Au 0.2500 0.2500 0.2500
CELL_PARAMETERS angstrom
0.0000 3.6260 3.6260
3.6260 0.0000 3.6260
3.6260 3.6260 0.0000